[1]
This record from Alexandria describes ZrMo after structural relaxation. The functional is PBE.

The energy of formation comes out at 0.9595 eV/atom. For the energy above the most stable polymorph in this dataset, the calculation gives 1.001 eV/atom.

The structure belongs to space group Fm-3m (No. 225); the cell edges are 5.510, 5.510 and 5.510 Å and the angles 90.00°, 90.00° and 90.00°. The asymmetric unit holds Zr at (0.000, 0.000, 0.000) and Mo at (0.000, 0.000, 0.500).



[2]
This record from Alexandria describes Zr2TaHg after structural relaxation. The functional is PBE.

The energy of formation comes out at 0.2142 eV/atom.

The structure belongs to space group F-43m (No. 216); the cell edges are 6.912, 6.912 and 6.912 Å and the angles 90.00°, 90.00° and 90.00°. The asymmetric unit holds Zr at (0.000, 0.000, 0.000), Zr at (0.250, 0.250, 0.250), Ta at (0.000, 0.000, 0.500) and Hg at (0.250, 0.250, 0.750).